PBE-GGA Dy7In2Pd2, relaxed; magnetic moment = 0.0 Bohr magnetons per cell; crystal system = orthorhombic; energy of formation from the pure elements = -0.3536 eV per atom
1.0
-5.714 1.457 -3.560
2.605 -3.466 -5.598
-1.055 -5.997 3.220
Dy In Pd
7 2 2
direct
0.000 0.255 0.500
0.500 0.745 0.000
0.000 0.745 0.500
0.500 0.255 0.000
0.000 0.000 0.000
0.500 0.752 0.500
0.500 0.248 0.500
0.826 0.500 0.826
0.174 0.500 0.174
0.709 0.000 0.291
0.291 0.000 0.709